Material: KIn2Se
Method: DFT, GGA-PBE
State: optimized geometry

a b c (Å): 6.5975 6.5975 6.5975
angles (deg): 146.83 131.13 60.34
Fractional coordinates of all 4 atoms:
K 0.0000 0.0000 0.0000
In 0.2931 0.7931 0.5000
In 0.7069 0.2069 0.5000
Se 0.5000 0.5000 0.0000

Output
E_form (uncorrected) = -1.8 eV per formula unit
Final energy = -11.8 eV/cell
Density of states at the Fermi level = 1.8 states/eV/cell
Space-group type = Immm, No. 71

Material: NaVW2
Method: DFT, GGA-PBE
State: optimized geometry

a b c (Å): 3.0755 4.2703 13.1391
angles (deg): 90.35 90.13 90.00
Fractional coordinates of all 8 atoms:
Na 0.0000 0.0000 0.0000
Na 0.4934 0.5039 0.2273
V 0.9969 0.0095 0.6143
V 0.9989 0.5126 0.7822
W 0.4949 0.0063 0.4417
W 0.4969 0.5096 0.6161
W 0.4989 0.0125 0.7816
W 0.9949 0.5064 0.4459

Output
Energy relative to the lowest polymorph listed for this composition = 0.173 eV per atom
Formation energy from the elements = 0.439 eV per atom
Final energy = -69.2 eV/cell
Density of states at the Fermi level = 7.3 states/eV/cell
Space-group type = P1, No. 1

Material: Pr2ErScSe5
Method: DFT, GGA-PBE
State: optimized geometry

a b c (Å): 5.1122 5.1122 10.4071
angles (deg): 90.00 90.00 90.00
Fractional coordinates of all 9 atoms:
Pr 0.0000 0.0000 0.2094
Pr 0.0000 0.0000 0.7906
Er 0.5000 0.5000 0.0000
Sc 0.5000 0.5000 0.5000
Se 0.0000 0.0000 0.5000
Se 0.0000 0.5000 0.0000
Se 0.5000 0.0000 0.0000
Se 0.5000 0.5000 0.2620
Se 0.5000 0.5000 0.7380

Output
E_form (uncorrected) = -11.4 eV per formula unit
Final energy = -49.3 eV/cell
Density of states at the Fermi level = 6.4 states/eV/cell
Space-group type = P4/mmm, No. 123

Material: NdPaIrPd
Method: DFT, GGA-PBE
State: optimized geometry

a b c (Å): 4.9846 4.9846 4.9846
angles (deg): 60.00 60.00 60.00
Fractional coordinates of all 4 atoms:
Nd 0.0000 0.0000 0.0000
Pa 0.5000 0.5000 0.5000
Ir 0.7500 0.7500 0.7500
Pd 0.2500 0.2500 0.2500

Output
Formation energy from the elements = -0.536 eV per atom
Final energy = -30.5 eV/cell
Density of states at the Fermi level = 6.0 states/eV/cell
Space-group type = F-43m, No. 216

Material: SrInAu2
Method: DFT, GGA-PBE
State: optimized geometry

a b c (Å): 5.1581 5.1581 5.5878
angles (deg): 106.59 106.59 47.36
Fractional coordinates of all 4 atoms:
Sr 0.0000 0.0000 0.0000
In 0.2221 0.2221 0.6363
Au 0.4953 0.4953 0.4872
Au 0.7659 0.7659 0.3104

Output
Formation energy from the elements = -0.464 eV per atom
Final energy = -12.8 eV/cell
Density of states at the Fermi level = 2.1 states/eV/cell
Space-group type = Cm, No. 8